Density functional theory data (PBE+U) for a relaxed structure of Rb2MnCl2F4.

Summary:
- Total magnetic moment: 0.330 μB per atom
- Calculated total energy: -4.455 eV per atom

Cell and atoms, written as extended XYZ:
```
9
Lattice="-3.380 3.380 4.229 3.380 -3.380 4.229 3.380 3.380 -4.229" Properties=species:S:1:pos:R:3 pbc="T T T"
Rb 3.380 0.000 2.114
Rb 0.000 3.380 2.114
Mn 0.000 0.000 0.000
Cl 0.000 0.000 2.319
Cl 0.000 0.000 6.138
F 1.309 1.309 0.000
F 2.071 -2.071 4.229
F -2.071 2.071 4.229
F 2.071 2.071 4.229
```